# 1
Computed, not measured: an optimized crystal structure of TlPtAuSe3 at the PBE level of DFT.

Cell lengths 12.582, 3.883, 11.952 Å; angles 90.00, 90.00, 90.00 degrees
Atoms (fractional coordinates):
Tl1 0.163 0.250 0.097
Tl2 0.337 0.750 0.597
Tl3 0.663 0.250 0.403
Tl4 0.837 0.750 0.903
Pt1 0.105 0.750 0.681
Pt2 0.395 0.250 0.181
Pt3 0.605 0.750 0.819
Pt4 0.895 0.250 0.319
Au1 0.123 0.750 0.303
Au2 0.377 0.250 0.803
Au3 0.623 0.750 0.197
Au4 0.877 0.250 0.697
Se1 0.052 0.250 0.804
Se2 0.102 0.250 0.552
Se3 0.237 0.250 0.401
Se4 0.263 0.750 0.901
Se5 0.398 0.750 0.052
Se6 0.448 0.750 0.304
Se7 0.552 0.250 0.696
Se8 0.602 0.250 0.948
Se9 0.737 0.250 0.099
Se10 0.763 0.750 0.599
Se11 0.898 0.750 0.448
Se12 0.948 0.750 0.196

Calculated values
Space group   Pnma (62)
Calculated volume   24.3 Å³ per atom
Energy relative to the lowest polymorph listed for this composition   0.061 eV/atom
E   -3.843 eV per atom

---

# 2
Computed, not measured: an optimized crystal structure of SiPtAu at the PBE level of DFT.

Cell lengths 5.893, 5.893, 5.893 Å; angles 90.00, 90.00, 90.00 degrees
Atoms (fractional coordinates):
Si1 0.000 0.000 0.000
Si2 0.000 0.500 0.500
Si3 0.500 0.000 0.500
Si4 0.500 0.500 0.000
Pt1 0.250 0.250 0.250
Pt2 0.250 0.750 0.750
Pt3 0.750 0.250 0.750
Pt4 0.750 0.750 0.250
Au1 0.250 0.250 0.750
Au2 0.250 0.750 0.250
Au3 0.750 0.250 0.250
Au4 0.750 0.750 0.750

Calculated values
Space group   F-43m (216)
Calculated volume   17.1 Å³ per atom
E   -5.190 eV per atom

---

# 3
Computed, not measured: an optimized crystal structure of SiPtAu2 at the PBE level of DFT.

Cell lengths 6.432, 6.432, 6.432 Å; angles 90.00, 90.00, 90.00 degrees
Atoms (fractional coordinates):
Si1 0.000 0.000 0.000
Si2 0.000 0.500 0.500
Si3 0.500 0.000 0.500
Si4 0.500 0.500 0.000
Pt1 0.250 0.250 0.250
Pt2 0.250 0.750 0.750
Pt3 0.750 0.250 0.750
Pt4 0.750 0.750 0.250
Au1 0.000 0.000 0.500
Au2 0.000 0.500 0.000
Au3 0.250 0.250 0.750
Au4 0.250 0.750 0.250
Au5 0.500 0.000 0.000
Au6 0.500 0.500 0.500
Au7 0.750 0.250 0.250
Au8 0.750 0.750 0.750

Calculated values
Space group   F-43m (216)
Calculated volume   16.6 Å³ per atom
E   -4.431 eV per atom

---

# 4
Computed, not measured: an optimized crystal structure of SmPtAu at the PBE level of DFT.

Cell lengths 6.737, 6.737, 6.737 Å; angles 90.00, 90.00, 90.00 degrees
Atoms (fractional coordinates):
Sm1 0.000 0.000 0.000
Sm2 0.000 0.500 0.500
Sm3 0.500 0.000 0.500
Sm4 0.500 0.500 0.000
Pt1 0.250 0.250 0.250
Pt2 0.250 0.750 0.750
Pt3 0.750 0.250 0.750
Pt4 0.750 0.750 0.250
Au1 0.250 0.250 0.750
Au2 0.250 0.750 0.250
Au3 0.750 0.250 0.250
Au4 0.750 0.750 0.750

Calculated values
Formation energy   -0.520 eV/atom
Space group   F-43m (216)
Calculated volume   25.5 Å³ per atom
Energy relative to the lowest polymorph listed for this composition   0.298 eV/atom
E   -5.198 eV per atom

---

# 5
Computed, not measured: an optimized crystal structure of Sm3Pt8Au at the PBE level of DFT.

Cell lengths 9.424, 9.424, 9.424 Å; angles 33.48, 33.48, 33.48 degrees
Atoms (fractional coordinates):
Sm1 0.000 0.000 0.000
Sm2 0.130 0.130 0.130
Sm3 0.611 0.611 0.611
Pt1 0.059 0.059 0.565
Pt2 0.059 0.560 0.560
Pt3 0.059 0.565 0.059
Pt4 0.310 0.310 0.310
Pt5 0.560 0.059 0.560
Pt6 0.560 0.560 0.059
Pt7 0.565 0.059 0.059
Pt8 0.810 0.810 0.810
Au1 0.492 0.492 0.492

Calculated values
Formation energy   -0.940 eV/atom
Space group   R3m (160)
Calculated volume   18.9 Å³ per atom
E   -6.428 eV per atom

---

# 6
Computed, not measured: an optimized crystal structure of SmPt4Au at the PBE level of DFT.

Cell lengths 5.369, 5.369, 5.369 Å; angles 60.00, 60.00, 60.00 degrees
Atoms (fractional coordinates):
Sm1 0.000 0.000 0.000
Pt1 0.127 0.624 0.624
Pt2 0.624 0.127 0.624
Pt3 0.624 0.624 0.127
Pt4 0.624 0.624 0.624
Au1 0.250 0.250 0.250

Calculated values
Formation energy   -0.723 eV/atom
Space group   F-43m (216)
Calculated volume   18.2 Å³ per atom
E   -6.090 eV per atom

---

# 7
Computed, not measured: an optimized crystal structure of Sm2PtAu at the PBE level of DFT.

Cell lengths 5.800, 4.636, 7.730 Å; angles 90.00, 110.13, 90.00 degrees
Atoms (fractional coordinates):
Sm1 0.218 0.250 0.435
Sm2 0.232 0.250 0.926
Sm3 0.768 0.750 0.074
Sm4 0.782 0.750 0.565
Pt1 0.327 0.750 0.707
Pt2 0.673 0.250 0.293
Au1 0.322 0.750 0.207
Au2 0.678 0.250 0.793

Calculated values
Formation energy   -1.025 eV/atom
Space group   P2_1/m (11)
Calculated volume   24.4 Å³ per atom
E   -5.711 eV per atom

---

# 8
Computed, not measured: an optimized crystal structure of Sm2PtAu at the PBE level of DFT.

Cell lengths 4.679, 3.859, 10.806 Å; angles 90.00, 90.00, 90.00 degrees
Atoms (fractional coordinates):
Sm1 0.000 0.000 0.000
Sm2 0.000 0.500 0.500
Sm3 0.500 0.000 0.275
Sm4 0.500 0.500 0.775
Pt1 0.000 0.000 0.725
Pt2 0.000 0.500 0.225
Au1 0.500 0.000 0.554
Au2 0.500 0.500 0.054

Calculated values
Formation energy   -1.015 eV/atom
Space group   Amm2 (38)
Calculated volume   24.4 Å³ per atom
E   -5.701 eV per atom

---

What did the eighth record say?
Computed, not measured: an optimized crystal structure of Sm2PtAu at the PBE level of DFT.

Cell lengths 4.679, 3.859, 10.806 Å; angles 90.00, 90.00, 90.00 degrees
Atoms (fractional coordinates):
Sm1 0.000 0.000 0.000
Sm2 0.000 0.500 0.500
Sm3 0.500 0.000 0.275
Sm4 0.500 0.500 0.775
Pt1 0.000 0.000 0.725
Pt2 0.000 0.500 0.225
Au1 0.500 0.000 0.554
Au2 0.500 0.500 0.054

Calculated values
Formation energy   -1.015 eV/atom
Space group   Amm2 (38)
Calculated volume   24.4 Å³ per atom
E   -5.701 eV per atom